The following is a PBE-GGA calculation of CaEr2TmTe4 after structural relaxation, from Alexandria.

D(E_F) (states/eV per cell): 3.720
Volume (Å³/f.u.): 233
E (eV/atom): -4.820
Raw formation energy (eV/atom): -1.300
SG: P2/m

a b c (Å): 7.538 4.334 7.552
angles (deg): 90.00 109.13 90.00
Fractional coordinates of all 8 atoms:
Ca 0.000 0.000 0.000
Er 0.000 0.500 0.500
Er 0.500 0.000 0.500
Tm 0.500 0.500 0.000
Te 0.253 0.000 0.749
Te 0.255 0.500 0.253
Te 0.745 0.500 0.747
Te 0.747 0.000 0.251

The following is a PBE-GGA calculation of CaEr4TmTe8 after structural relaxation, from Alexandria.

D(E_F) (states/eV per cell): 4.667
Volume (Å³/f.u.): 521
E (eV/atom): -4.851
Raw formation energy (eV/atom): -1.290
SG: R3m

a b c (Å): 9.031 9.031 9.031
angles (deg): 60.01 60.01 60.01
Fractional coordinates of all 14 atoms:
Ca 0.000 0.000 0.000
Er 0.373 0.373 0.881
Er 0.373 0.881 0.373
Er 0.750 0.750 0.750
Er 0.881 0.373 0.373
Tm 0.373 0.373 0.373
Te 0.135 0.135 0.135
Te 0.136 0.136 0.594
Te 0.136 0.594 0.136
Te 0.150 0.616 0.616
Te 0.594 0.136 0.136
Te 0.616 0.150 0.616
Te 0.616 0.616 0.150
Te 0.617 0.617 0.617

The following is a PBE-GGA calculation of Ca2ErTmTe4 after structural relaxation, from Alexandria.

D(E_F) (states/eV per cell): 3.574
Volume (Å³/f.u.): 241
E (eV/atom): -4.613
Raw formation energy (eV/atom): -1.413
SG: P2/m

a b c (Å): 7.565 4.372 7.708
angles (deg): 90.00 109.18 90.00
Fractional coordinates of all 8 atoms:
Ca 0.000 0.000 0.000
Ca 0.500 0.500 0.000
Er 0.000 0.500 0.500
Tm 0.500 0.000 0.500
Te 0.248 0.000 0.742
Te 0.254 0.500 0.259
Te 0.746 0.500 0.741
Te 0.752 0.000 0.258

The following is a PBE-GGA calculation of CaEr3Tm2Te6 after structural relaxation, from Alexandria.

D(E_F) (states/eV per cell): 5.566
Volume (Å³/f.u.): 347
E (eV/atom): -4.888
Raw formation energy (eV/atom): -1.265
SG: C2/m

a b c (Å): 9.711 9.711 8.690
angles (deg): 103.36 103.36 25.81
Fractional coordinates of all 12 atoms:
Ca 0.000 0.000 0.000
Er 0.000 0.000 0.500
Er 0.336 0.336 0.177
Er 0.664 0.664 0.823
Tm 0.329 0.329 0.659
Tm 0.671 0.671 0.341
Te 0.165 0.165 0.580
Te 0.169 0.169 0.083
Te 0.497 0.497 0.746
Te 0.503 0.503 0.254
Te 0.831 0.831 0.917
Te 0.835 0.835 0.420